Record 1
Entry from Alexandria: a relaxed structure of Ca4AsPI2 (PBE).

CIF file:
```
data_Ca4AsPI2
_symmetry_space_group_name_H-M 'P 1'
_symmetry_Int_Tables_number 1
_cell_length_a 4.347
_cell_length_b 7.551
_cell_length_c 7.899
_cell_angle_alpha 108.52
_cell_angle_beta 90.00
_cell_angle_gamma 90.00
loop_
_symmetry_equiv_pos_as_xyz
'x,y,z'
loop_
_atom_site_label
_atom_site_type_symbol
_atom_site_fract_x
_atom_site_fract_y
_atom_site_fract_z
_atom_site_occupancy
Ca1 Ca 0.500 0.236 0.192 1
Ca2 Ca 0.500 0.764 0.808 1
Ca3 Ca 0.000 0.274 0.810 1
Ca4 Ca 0.000 0.726 0.190 1
As1 As 0.000 0.000 0.000 1
P1 P 0.500 0.500 0.000 1
I1 I 0.500 0.000 0.500 1
I2 I 0.000 0.500 0.500 1
```

## Properties
* DOS at the Fermi energy: 0.0 states/eV/f.u.
* ΔE_f (raw): -135 kJ/mol of atoms
* calculated total energy: -0.14884 hartree per atom

Record 2
Entry from Alexandria: a relaxed structure of Ca6AsPt2I3 (PBE).

CIF file:
```
data_Ca6AsPt2I3
_symmetry_space_group_name_H-M 'P 1'
_symmetry_Int_Tables_number 1
_cell_length_a 7.486
_cell_length_b 7.486
_cell_length_c 8.032
_cell_angle_alpha 99.06
_cell_angle_beta 99.06
_cell_angle_gamma 119.93
loop_
_symmetry_equiv_pos_as_xyz
'x,y,z'
loop_
_atom_site_label
_atom_site_type_symbol
_atom_site_fract_x
_atom_site_fract_y
_atom_site_fract_z
_atom_site_occupancy
Ca1 Ca 0.935 0.600 0.807 1
Ca2 Ca 0.731 0.731 0.194 1
Ca3 Ca 0.065 0.400 0.193 1
Ca4 Ca 0.600 0.935 0.807 1
Ca5 Ca 0.269 0.269 0.806 1
Ca6 Ca 0.400 0.065 0.193 1
As1 As 0.000 0.000 0.000 1
Pt1 Pt 0.334 0.666 0.000 1
Pt2 Pt 0.666 0.334 0.000 1
I1 I 0.167 0.833 0.500 1
I2 I 0.833 0.167 0.500 1
I3 I 0.500 0.500 0.500 1
```

## Properties
* DOS at the Fermi energy: 6.2 states/eV/f.u.
* ΔE_f (raw): -110 kJ/mol of atoms
* calculated total energy: -0.14429 hartree per atom